Record 1
MgVHg2Pd | PBE | relaxed

a = 5.206 Å, b = 4.780 Å, c = 5.206 Å
α = 90.00°, β = 90.00°, γ = 90.00°
Each line ends with the local moment (μB).
Atoms (fractional coordinates):
Mg: 0.500 0.500 0.500  -0.02
Hg: 0.000 0.000 0.500  -0.01
Hg: 0.500 0.000 0.000  -0.02
Pd: 0.000 0.000 0.000  -0.02
V: 0.000 0.500 0.000  2.50

The formation energy is 0.50 eV per atom.

Record 2
MgZn2Hg2Pd5 | PBE | relaxed

a = 3.851 Å, b = 9.388 Å, c = 9.388 Å
α = 90.00°, β = 90.00°, γ = 90.00°
Atoms (fractional coordinates):
Mg: 0.000 0.000 0.000
Mg: 0.000 0.500 0.500
Zn: 0.000 0.128 0.628
Zn: 0.000 0.872 0.372
Zn: 0.000 0.628 0.872
Zn: 0.000 0.372 0.128
Hg: 0.000 0.670 0.170
Hg: 0.000 0.330 0.830
Hg: 0.000 0.170 0.330
Hg: 0.000 0.830 0.670
Pd: 0.500 0.193 0.086
Pd: 0.500 0.807 0.914
Pd: 0.500 0.086 0.807
Pd: 0.500 0.693 0.414
Pd: 0.500 0.914 0.193
Pd: 0.500 0.307 0.586
Pd: 0.500 0.586 0.693
Pd: 0.500 0.414 0.307
Pd: 0.500 0.500 0.000
Pd: 0.500 0.000 0.500

The formation energy is -0.33 eV per atom.

Record 3
Pm4MgHg2 | PBE | relaxed

a = 7.237 Å, b = 6.912 Å, c = 8.972 Å
α = 90.00°, β = 109.42°, γ = 90.00°
Atoms (fractional coordinates):
Pm: 0.606 0.479 0.232
Pm: 0.869 0.750 0.727
Pm: 0.131 0.250 0.273
Pm: 0.606 0.021 0.232
Pm: 0.970 0.250 0.588
Pm: 0.394 0.979 0.768
Pm: 0.394 0.521 0.768
Pm: 0.030 0.750 0.412
Mg: 0.203 0.750 0.093
Mg: 0.797 0.250 0.907
Hg: 0.777 0.750 0.035
Hg: 0.223 0.250 0.965
Hg: 0.531 0.250 0.544
Hg: 0.469 0.750 0.456

Its energy above the most stable polymorph in this dataset is 44 meV/atom. The formation energy is -0.16 eV per atom.

Record 4
PmMg5Hg6 | PBE | relaxed

a = 4.924 Å, b = 7.804 Å, c = 7.409 Å
α = 90.00°, β = 90.00°, γ = 71.61°
Atoms (fractional coordinates):
Mg: 0.668 0.665 0.500
Mg: 0.331 0.338 0.000
Mg: 0.000 0.000 0.500
Mg: 0.669 0.662 0.000
Mg: 0.332 0.335 0.500
Hg: 0.828 0.344 0.254
Hg: 0.828 0.344 0.746
Hg: 0.500 0.000 0.731
Hg: 0.500 0.000 0.269
Hg: 0.172 0.656 0.254
Hg: 0.172 0.656 0.746
Pm: 0.000 0.000 0.000

The formation energy is -0.28 eV per atom.